Run w
Tc3RhBr: relaxed, GGA-PBE.

Unit cell a=4.785 b=4.785 c=4.785 alpha=90.00 beta=90.00 gamma=90.00
Positions (direct):
1 Rh 0.000 0.000 0.000
2 Tc 0.500 0.000 0.000
3 Tc 0.000 0.000 0.500
4 Tc 0.000 0.500 0.000
5 Br 0.500 0.500 0.500

Properties
calculated density: 7.2 g/cm3
density of states at the Fermi level: 6.88 states/eV/cell
V: 109.55 Å³/cell

***

Run x
Tc3RhBr: relaxed, GGA-PBE.

Unit cell a=4.487 b=4.487 c=4.487 alpha=90.00 beta=90.00 gamma=90.00
Positions (direct):
1 Tc 0.000 0.500 0.000
2 Tc 0.500 0.000 0.000
3 Tc 0.000 0.000 0.500
4 Rh 0.500 0.500 0.500
5 Br 0.000 0.000 0.000

Properties
calculated density: 8.8 g/cm3
density of states at the Fermi level: 5.95 states/eV/cell
V: 90.34 Å³/cell

***

Which structure wins on stability? run x wins.

***

Run w
Te4RhBr: relaxed, GGA-PBE.

Unit cell a=6.213 b=6.213 c=6.213 alpha=60.00 beta=60.00 gamma=60.00
Positions (direct):
1 Br 0.750 0.750 0.750
2 Te 0.875 0.375 0.375
3 Te 0.375 0.375 0.375
4 Te 0.375 0.875 0.375
5 Te 0.375 0.375 0.875
6 Rh 0.000 0.000 0.000

Properties
calculated density: 6.8 g/cm3
density of states at the Fermi level: 9.15 states/eV/cell
V: 169.62 Å³/cell

***

Run x
Te4RhBr: relaxed, GGA-PBE.

Unit cell a=7.564 b=7.632 c=6.510 alpha=88.67 beta=90.45 gamma=81.80
Positions (direct):
1 Te 0.531 0.135 0.273
2 Te 0.968 0.120 0.775
3 Te 0.019 0.333 0.124
4 Te 0.032 0.880 0.225
5 Te 0.509 0.246 0.852
6 Te 0.981 0.667 0.876
7 Te 0.469 0.865 0.727
8 Te 0.491 0.754 0.148
9 Rh 0.266 0.059 0.022
10 Rh 0.734 0.941 0.978
11 Br 0.747 0.556 0.509
12 Br 0.253 0.444 0.491

Properties
calculated density: 6.2 g/cm3
density of states at the Fermi level: 5.21 states/eV/cell
V: 371.84 Å³/cell

***

Which structure wins on stability? run x wins.

***

Run w
TeRh3Br: relaxed, GGA-PBE.

Unit cell a=4.915 b=4.915 c=4.915 alpha=90.00 beta=90.00 gamma=90.00
Positions (direct):
1 Rh 0.000 0.000 0.500
2 Rh 0.500 0.000 0.000
3 Rh 0.000 0.500 0.000
4 Te 0.000 0.000 0.000
5 Br 0.500 0.500 0.500

Properties
calculated density: 7.2 g/cm3
density of states at the Fermi level: 8.64 states/eV/cell
V: 118.70 Å³/cell

***

Run x
TeRh3Br: relaxed, GGA-PBE.

Unit cell a=4.667 b=4.667 c=4.667 alpha=90.00 beta=90.00 gamma=90.00
Positions (direct):
1 Br 0.000 0.000 0.000
2 Rh 0.500 0.000 0.000
3 Rh 0.000 0.500 0.000
4 Rh 0.000 0.000 0.500
5 Te 0.500 0.500 0.500

Properties
calculated density: 8.4 g/cm3
density of states at the Fermi level: 5.95 states/eV/cell
V: 101.67 Å³/cell

***

Which structure wins on stability? run x wins.